# 1
First-principles (PBE) data for a relaxed TbDy10Er4 crystal, as listed in Alexandria.

Structure (CIF):
```
data_TbDy10Er4
_space_group_name_H-M_alt 'I 4/m'
_space_group_IT_number 87
_space_group_name_Hall '-I 4'
_cell_length_a 12.096
_cell_length_b 12.096
_cell_length_c 7.652
_cell_angle_alpha 90.00
_cell_angle_beta 90.00
_cell_angle_gamma 90.00
loop_
_atom_site_label
_atom_site_fract_x
_atom_site_fract_y
_atom_site_fract_z
Tb1 0.000 0.000 0.000
Dy1 0.000 0.500 0.250
Dy2 0.100 0.200 0.251
Er1 0.100 0.699 0.500
```

## Properties
As for the crystal system: tetragonal.

---

# 2
First-principles (PBE) data for a relaxed Tb6DyEr8 crystal, as listed in Alexandria.

Structure (CIF):
```
data_Tb6DyEr8
_space_group_name_H-M_alt 'R -3'
_space_group_IT_number 148
_space_group_name_Hall '-R 3'
_cell_length_a 8.9595
_cell_length_b 8.9595
_cell_length_c 20.4271
_cell_angle_alpha 90.00
_cell_angle_beta 90.00
_cell_angle_gamma 120.00
loop_
_atom_site_label
_atom_site_fract_x
_atom_site_fract_y
_atom_site_fract_z
Tb1 0.0659 0.2483 0.2083
Dy1 0.0000 0.0000 0.5000
Er1 0.0000 0.0000 0.0765
Er2 0.0813 0.5520 0.3085
```

## Properties
As for the crystal system: trigonal.

---

# 3
First-principles (PBE) data for a relaxed Tb8Dy3Er crystal, as listed in Alexandria.

Structure (CIF):
```
data_Tb8Dy3Er
_space_group_name_H-M_alt 'I 4/m m m'
_space_group_IT_number 139
_space_group_name_Hall '-I 4 2'
_cell_length_a 7.665
_cell_length_b 7.665
_cell_length_c 15.321
_cell_angle_alpha 90.00
_cell_angle_beta 90.00
_cell_angle_gamma 90.00
loop_
_atom_site_label
_atom_site_fract_x
_atom_site_fract_y
_atom_site_fract_z
Tb1 0.250 0.250 0.125
Dy1 0.000 0.000 0.000
Dy2 0.000 0.500 0.250
Er1 0.000 0.000 0.500
```

## Properties
As for the crystal system: tetragonal.

---

# 4
First-principles (PBE) data for a relaxed Tb5Dy5Er crystal, as listed in Alexandria.

Structure (CIF):
```
data_Tb5Dy5Er
_space_group_name_H-M_alt 'P -6 m 2'
_space_group_IT_number 187
_space_group_name_Hall 'P -6 2'
_cell_length_a 6.0467
_cell_length_b 6.0467
_cell_length_c 11.4409
_cell_angle_alpha 90.00
_cell_angle_beta 90.00
_cell_angle_gamma 120.00
loop_
_atom_site_label
_atom_site_fract_x
_atom_site_fract_y
_atom_site_fract_z
Tb1 0.0000 0.0000 0.2361
Tb2 0.3371 0.1685 0.0000
Dy1 0.0000 0.0000 0.5000
Dy2 0.3333 0.6667 0.1821
Dy3 0.6667 0.3333 0.3432
Er1 0.3333 0.6667 0.5000
```

## Properties
The calculation puts the polymorph energy (0 for the lowest one) at 0.1897 eV per atom. As for the crystal system: hexagonal.

---

# 5
First-principles (PBE) data for a relaxed TbDy9Er2 crystal, as listed in Alexandria.

Structure (CIF):
```
data_TbDy9Er2
_space_group_name_H-M_alt 'P 4/m m m'
_space_group_IT_number 123
_space_group_name_Hall '-P 4 2'
_cell_length_a 4.993
_cell_length_b 4.993
_cell_length_c 14.980
_cell_angle_alpha 90.00
_cell_angle_beta 90.00
_cell_angle_gamma 90.00
loop_
_atom_site_label
_atom_site_fract_x
_atom_site_fract_y
_atom_site_fract_z
Tb1 0.000 0.000 0.000
Dy1 0.000 0.500 0.167
Dy2 0.000 0.500 0.500
Dy3 0.500 0.500 0.000
Dy4 0.500 0.500 0.334
Er1 0.000 0.000 0.334
```

## Properties
The calculation puts the polymorph energy (0 for the lowest one) at 0.0000 eV per atom. As for the crystal system: tetragonal.

---

# 6
First-principles (PBE) data for a relaxed Tb3DyEr8 crystal, as listed in Alexandria.

Structure (CIF):
```
data_Tb3DyEr8
_space_group_name_H-M_alt 'I 4/m m m'
_space_group_IT_number 139
_space_group_name_Hall '-I 4 2'
_cell_length_a 7.612
_cell_length_b 7.612
_cell_length_c 15.232
_cell_angle_alpha 90.00
_cell_angle_beta 90.00
_cell_angle_gamma 90.00
loop_
_atom_site_label
_atom_site_fract_x
_atom_site_fract_y
_atom_site_fract_z
Tb1 0.000 0.000 0.000
Tb2 0.000 0.500 0.250
Dy1 0.000 0.000 0.500
Er1 0.250 0.250 0.125
```

## Properties
As for the crystal system: tetragonal.

---

| no. | calculated total energy (eV/atom) | E_form (kcal/mol of atoms) |
| --- | --- | --- |
| 1 | -3.870 | 16.7 |
| 2 | -4.464 | 3.0 |
| 3 | -3.893 | 16.7 |
| 4 | -4.277 | 7.7 |
| 5 | -4.577 | 0.5 |
| 6 | -3.845 | 17.0 |